No. 1
Below is crystalline TlSe2S at its relaxed geometry, with properties calculated at the PBE level.

Values from the calculation:
symmetry = R-3m (166)
density = 5.38 g cm⁻³
Fermi-level density of states = 2.55 states/eV/cell
E_tot = -3.168 eV per atom
ΔE to the lowest computed polymorph = 21.3 kJ/mol of atoms

The structure in CIF format:
```
data_TlSe2S
_cell_length_a 8.345
_cell_length_b 8.345
_cell_length_c 8.345
_cell_angle_alpha 29.11
_cell_angle_beta 29.11
_cell_angle_gamma 29.11
_symmetry_space_group_name_H-M 'P 1'
_symmetry_Int_Tables_number 1
_symmetry_space_group_name_Hall 'P 1'
loop_
_atom_site_label
_atom_site_fract_x
_atom_site_fract_y
_atom_site_fract_z
Tl1 0.500 0.500 0.500
S1 0.000 0.000 0.000
Se1 0.903 0.903 0.903
Se2 0.097 0.097 0.097
```



No. 2
Below is crystalline PmPrPd at its relaxed geometry, with properties calculated at the PBE level.

Values from the calculation:
symmetry = I4mm (107)
density = 7.73 g cm⁻³
ΔH_f (0 K) = -1.3 eV per formula unit
Fermi-level density of states = 3.46 states/eV/cell
E_tot = -5.353 eV per atom
ΔE to the lowest computed polymorph = 2.2 kJ/mol of atoms

The structure in CIF format:
```
data_PmPrPd
_cell_length_a 3.690
_cell_length_b 3.690
_cell_length_c 6.720
_cell_angle_alpha 105.94
_cell_angle_beta 105.94
_cell_angle_gamma 90.00
_symmetry_space_group_name_H-M 'P 1'
_symmetry_Int_Tables_number 1
_symmetry_space_group_name_Hall 'P 1'
loop_
_atom_site_label
_atom_site_fract_x
_atom_site_fract_y
_atom_site_fract_z
Pr1 0.025 0.025 0.050
Pd1 0.672 0.672 0.343
Pm1 0.304 0.304 0.607
```



No. 3
Below is crystalline PmDy3Er2Bi6 at its relaxed geometry, with properties calculated at the PBE level.

Values from the calculation:
symmetry = C2/m (12)
density = 9.64 g cm⁻³
ΔH_f (0 K) = -10.3 eV per formula unit
Fermi-level density of states = 2.00 states/eV/cell
E_tot = -5.102 eV per atom

The structure in CIF format:
```
data_PmDy3Er2Bi6
_cell_length_a 4.484
_cell_length_b 8.968
_cell_length_c 10.023
_cell_angle_alpha 102.88
_cell_angle_beta 102.92
_cell_angle_gamma 90.00
_symmetry_space_group_name_H-M 'P 1'
_symmetry_Int_Tables_number 1
_symmetry_space_group_name_Hall 'P 1'
loop_
_atom_site_label
_atom_site_fract_x
_atom_site_fract_y
_atom_site_fract_z
Pm1 0.500 0.000 0.000
Dy1 0.500 0.500 0.000
Dy2 0.835 0.168 0.669
Dy3 0.165 0.832 0.331
Er1 0.833 0.667 0.665
Er2 0.167 0.333 0.335
Bi1 0.331 0.914 0.662
Bi2 0.667 0.582 0.334
Bi3 0.669 0.086 0.338
Bi4 0.001 0.255 0.003
Bi5 0.999 0.745 0.997
Bi6 0.333 0.418 0.666
```



No. 4
Below is crystalline Tb8Ho2Tm at its relaxed geometry, with properties calculated at the PBE level.

Values from the calculation:
symmetry = C2/m (12)
density = 8.27 g cm⁻³
ΔH_f (0 K) = 1.9 eV per formula unit
Fermi-level density of states = 14.16 states/eV/cell
E_tot = -4.437 eV per atom
ΔE to the lowest computed polymorph = 1.3 kJ/mol of atoms

The structure in CIF format:
```
data_Tb8Ho2Tm
_cell_length_a 5.962
_cell_length_b 9.510
_cell_length_c 9.510
_cell_angle_alpha 44.11
_cell_angle_beta 72.65
_cell_angle_gamma 72.65
_symmetry_space_group_name_H-M 'P 1'
_symmetry_Int_Tables_number 1
_symmetry_space_group_name_Hall 'P 1'
loop_
_atom_site_label
_atom_site_fract_x
_atom_site_fract_y
_atom_site_fract_z
Tb1 0.359 0.346 0.905
Tb2 0.641 0.095 0.654
Tb3 0.221 0.798 0.798
Tb4 0.779 0.202 0.202
Tb5 0.359 0.905 0.346
Tb6 0.641 0.654 0.095
Tb7 0.754 0.508 0.508
Tb8 0.246 0.492 0.492
Ho1 0.824 0.690 0.690
Ho2 0.176 0.310 0.310
Tm1 0.000 0.000 0.000
```



No. 5
Below is crystalline LaPI2 at its relaxed geometry, with properties calculated at the PBE level.

Values from the calculation:
symmetry = Fm-3m (225)
density = 5.76 g cm⁻³
Fermi-level density of states = 4.15 states/eV/cell
E_tot = -3.719 eV per atom
ΔE to the lowest computed polymorph = 3.0 kJ/mol of atoms

The structure in CIF format:
```
data_LaPI2
_cell_length_a 5.568
_cell_length_b 5.568
_cell_length_c 5.568
_cell_angle_alpha 60.00
_cell_angle_beta 60.00
_cell_angle_gamma 60.00
_symmetry_space_group_name_H-M 'P 1'
_symmetry_Int_Tables_number 1
_symmetry_space_group_name_Hall 'P 1'
loop_
_atom_site_label
_atom_site_fract_x
_atom_site_fract_y
_atom_site_fract_z
I1 0.250 0.250 0.250
I2 0.750 0.750 0.750
P1 0.000 0.000 0.000
La1 0.500 0.500 0.500
```



No. 6
Below is crystalline ReOsPt2 at its relaxed geometry, with properties calculated at the PBE level.

Values from the calculation:
symmetry = P2/m (10)
density = 21.21 g cm⁻³
ΔH_f (0 K) = 0.3 eV per formula unit
Fermi-level density of states = 3.99 states/eV/cell
E_tot = -8.858 eV per atom
ΔE to the lowest computed polymorph = 16.0 kJ/mol of atoms

The structure in CIF format:
```
data_ReOsPt2
_cell_length_a 2.770
_cell_length_b 4.779
_cell_length_c 5.547
_cell_angle_alpha 54.81
_cell_angle_beta 90.00
_cell_angle_gamma 90.00
_symmetry_space_group_name_H-M 'P 1'
_symmetry_Int_Tables_number 1
_symmetry_space_group_name_Hall 'P 1'
loop_
_atom_site_label
_atom_site_fract_x
_atom_site_fract_y
_atom_site_fract_z
Os1 0.000 0.000 0.500
Pt1 0.000 0.000 0.000
Pt2 0.500 0.500 0.000
Re1 0.500 0.500 0.500
```



No. 7
Below is crystalline YZnCd at its relaxed geometry, with properties calculated at the PBE level.

Values from the calculation:
symmetry = Imm2 (44)
density = 6.42 g cm⁻³
ΔH_f (0 K) = -0.4 eV per formula unit
Fermi-level density of states = 2.14 states/eV/cell
E_tot = -3.005 eV per atom

The structure in CIF format:
```
data_YZnCd
_cell_length_a 5.320
_cell_length_b 5.320
_cell_length_c 5.320
_cell_angle_alpha 143.45
_cell_angle_beta 128.85
_cell_angle_gamma 64.49
_symmetry_space_group_name_H-M 'P 1'
_symmetry_Int_Tables_number 1
_symmetry_space_group_name_Hall 'P 1'
loop_
_atom_site_label
_atom_site_fract_x
_atom_site_fract_y
_atom_site_fract_z
Cd1 0.997 0.997 0.000
Y1 0.332 0.332 0.000
Zn1 0.671 0.671 0.000
```



No. 8
Below is crystalline PbBrN2F at its relaxed geometry, with properties calculated at the PBE level.

Values from the calculation:
symmetry = P4/mmm (123)
density = 5.82 g cm⁻³
Fermi-level density of states = 4.59 states/eV/cell
E_tot = -3.732 eV per atom
ΔE to the lowest computed polymorph = 0.0 kJ/mol of atoms

The structure in CIF format:
```
data_PbBrN2F
_cell_length_a 4.639
_cell_length_b 4.639
_cell_length_c 4.428
_cell_angle_alpha 90.00
_cell_angle_beta 90.00
_cell_angle_gamma 90.00
_symmetry_space_group_name_H-M 'P 1'
_symmetry_Int_Tables_number 1
_symmetry_space_group_name_Hall 'P 1'
loop_
_atom_site_label
_atom_site_fract_x
_atom_site_fract_y
_atom_site_fract_z
Pb1 0.000 0.000 0.000
N1 0.000 0.500 0.000
N2 0.500 0.000 0.000
Br1 0.500 0.500 0.500
F1 0.000 0.000 0.500
```



No. 9
Below is crystalline Tb12Sm3In at its relaxed geometry, with properties calculated at the PBE level.

Values from the calculation:
symmetry = P4/mmm (123)
density = 8.14 g cm⁻³
ΔH_f (0 K) = -0.7 eV per formula unit
Fermi-level density of states = 20.78 states/eV/cell
E_tot = -4.573 eV per atom

The structure in CIF format:
```
data_Tb12Sm3In
_cell_length_a 4.989
_cell_length_b 4.989
_cell_length_c 20.260
_cell_angle_alpha 90.00
_cell_angle_beta 90.00
_cell_angle_gamma 90.00
_symmetry_space_group_name_H-M 'P 1'
_symmetry_Int_Tables_number 1
_symmetry_space_group_name_Hall 'P 1'
loop_
_atom_site_label
_atom_site_fract_x
_atom_site_fract_y
_atom_site_fract_z
Tb1 0.500 0.500 0.000
Tb2 0.500 0.500 0.244
Tb3 0.500 0.500 0.500
Tb4 0.500 0.500 0.756
Tb5 0.500 0.000 0.120
Tb6 0.500 0.000 0.373
Tb7 0.500 0.000 0.627
Tb8 0.500 0.000 0.880
Tb9 0.000 0.500 0.120
Tb10 0.000 0.500 0.373
Tb11 0.000 0.500 0.627
Tb12 0.000 0.500 0.880
Sm1 0.000 0.000 0.248
Sm2 0.000 0.000 0.500
Sm3 0.000 0.000 0.752
In1 0.000 0.000 0.000
```



No. 10
Below is crystalline RbUI6 at its relaxed geometry, with properties calculated at the PBE level.

Values from the calculation:
symmetry = R-3m (166)
density = 4.01 g cm⁻³
E_tot = -3.613 eV per atom
ΔE to the lowest computed polymorph = 3.2 kJ/mol of atoms

The structure in CIF format:
```
data_RbUI6
_cell_length_a 8.286
_cell_length_b 8.286
_cell_length_c 8.937
_cell_angle_alpha 62.38
_cell_angle_beta 62.38
_cell_angle_gamma 60.00
_symmetry_space_group_name_H-M 'P 1'
_symmetry_Int_Tables_number 1
_symmetry_space_group_name_Hall 'P 1'
loop_
_atom_site_label
_atom_site_fract_x
_atom_site_fract_y
_atom_site_fract_z
Rb1 0.500 0.500 0.500
U1 0.000 0.000 0.000
I1 0.909 0.909 0.774
I2 0.408 0.909 0.774
I3 0.091 0.592 0.226
I4 0.592 0.091 0.226
I5 0.091 0.091 0.226
I6 0.909 0.408 0.774
```



No. 11
Below is crystalline NbNiSbPb2 at its relaxed geometry, with properties calculated at the PBE level.

Values from the calculation:
symmetry = P4/mmm (123)
density = 9.06 g cm⁻³
Fermi-level density of states = 4.78 states/eV/cell
E_tot = -4.925 eV per atom

The structure in CIF format:
```
data_NbNiSbPb2
_cell_length_a 5.039
_cell_length_b 4.962
_cell_length_c 5.039
_cell_angle_alpha 90.00
_cell_angle_beta 90.00
_cell_angle_gamma 90.00
_symmetry_space_group_name_H-M 'P 1'
_symmetry_Int_Tables_number 1
_symmetry_space_group_name_Hall 'P 1'
loop_
_atom_site_label
_atom_site_fract_x
_atom_site_fract_y
_atom_site_fract_z
Pb1 0.000 0.000 0.500
Pb2 0.500 0.000 0.000
Sb1 0.500 0.500 0.500
Nb1 0.000 0.500 0.000
Ni1 0.000 0.000 0.000
```



No. 12
Below is crystalline Dy4HoErTm2 at its relaxed geometry, with properties calculated at the PBE level.

Values from the calculation:
symmetry = P2/m (10)
density = 8.94 g cm⁻³
ΔH_f (0 K) = 0.2 eV per formula unit
Fermi-level density of states = 10.78 states/eV/cell
E_tot = -4.540 eV per atom

The structure in CIF format:
```
data_Dy4HoErTm2
_cell_length_a 4.965
_cell_length_b 4.968
_cell_length_c 11.108
_cell_angle_alpha 63.48
_cell_angle_beta 90.00
_cell_angle_gamma 90.00
_symmetry_space_group_name_H-M 'P 1'
_symmetry_Int_Tables_number 1
_symmetry_space_group_name_Hall 'P 1'
loop_
_atom_site_label
_atom_site_fract_x
_atom_site_fract_y
_atom_site_fract_z
Dy1 0.000 0.751 0.750
Dy2 0.000 0.249 0.250
Dy3 0.500 0.749 0.250
Dy4 0.500 0.251 0.750
Ho1 0.500 0.500 0.000
Er1 0.000 0.500 0.500
Tm1 0.000 0.000 0.000
Tm2 0.500 0.000 0.500
```



No. 13
Below is crystalline Cu2Ni8Sn at its relaxed geometry, with properties calculated at the PBE level.

Values from the calculation:
symmetry = Immm (71)
density = 8.76 g cm⁻³
ΔH_f (0 K) = 1.2 eV per formula unit
Fermi-level density of states = 16.74 states/eV/cell
E_tot = -5.203 eV per atom

The structure in CIF format:
```
data_Cu2Ni8Sn
_cell_length_a 3.888
_cell_length_b 6.122
_cell_length_c 6.755
_cell_angle_alpha 116.95
_cell_angle_beta 106.72
_cell_angle_gamma 90.00
_symmetry_space_group_name_H-M 'P 1'
_symmetry_Int_Tables_number 1
_symmetry_space_group_name_Hall 'P 1'
loop_
_atom_site_label
_atom_site_fract_x
_atom_site_fract_y
_atom_site_fract_z
Cu1 0.189 0.689 0.377
Cu2 0.811 0.311 0.623
Ni1 0.661 0.879 0.323
Ni2 0.339 0.556 0.677
Ni3 0.159 0.159 0.318
Ni4 0.000 0.298 0.000
Ni5 0.841 0.841 0.682
Ni6 0.661 0.444 0.323
Ni7 0.339 0.121 0.677
Ni8 0.000 0.702 0.000
Sn1 0.500 0.000 0.000
```



No. 14
Below is crystalline ZnGa3Ag3 at its relaxed geometry, with properties calculated at the PBE level.

Values from the calculation:
symmetry = C2/m (12)
density = 7.87 g cm⁻³
ΔH_f (0 K) = 0.3 eV per formula unit
Fermi-level density of states = 4.14 states/eV/cell
E_tot = -2.661 eV per atom
ΔE to the lowest computed polymorph = 0.8 kJ/mol of atoms

The structure in CIF format:
```
data_ZnGa3Ag3
_cell_length_a 5.554
_cell_length_b 5.554
_cell_length_c 8.606
_cell_angle_alpha 89.77
_cell_angle_beta 89.77
_cell_angle_gamma 107.99
_symmetry_space_group_name_H-M 'P 1'
_symmetry_Int_Tables_number 1
_symmetry_space_group_name_Hall 'P 1'
loop_
_atom_site_label
_atom_site_fract_x
_atom_site_fract_y
_atom_site_fract_z
Zn1 0.694 0.694 0.968
Zn2 0.306 0.306 0.032
Ga1 0.573 0.573 0.357
Ga2 0.158 0.842 0.500
Ga3 0.842 0.158 0.500
Ga4 0.235 0.765 0.000
Ga5 0.765 0.235 0.000
Ga6 0.427 0.427 0.643
Ag1 0.954 0.954 0.218
Ag2 0.942 0.512 0.730
Ag3 0.512 0.942 0.730
Ag4 0.058 0.488 0.270
Ag5 0.488 0.058 0.270
Ag6 0.046 0.046 0.782
```



No. 15
Below is crystalline ZrPt2W at its relaxed geometry, with properties calculated at the PBE level.

Values from the calculation:
symmetry = P4/mmm (123)
density = 16.48 g cm⁻³
ΔH_f (0 K) = -2.1 eV per formula unit
Fermi-level density of states = 3.66 states/eV/cell
E_tot = -8.912 eV per atom

The structure in CIF format:
```
data_ZrPt2W
_cell_length_a 4.030
_cell_length_b 4.030
_cell_length_c 4.128
_cell_angle_alpha 90.00
_cell_angle_beta 90.00
_cell_angle_gamma 90.00
_symmetry_space_group_name_H-M 'P 1'
_symmetry_Int_Tables_number 1
_symmetry_space_group_name_Hall 'P 1'
loop_
_atom_site_label
_atom_site_fract_x
_atom_site_fract_y
_atom_site_fract_z
Pt1 0.000 0.000 0.000
Pt2 0.500 0.500 0.000
W1 0.500 0.000 0.500
Zr1 0.000 0.500 0.500
```



No. 16
Below is crystalline AcDyTe2Se at its relaxed geometry, with properties calculated at the PBE level.

Values from the calculation:
symmetry = P4/nmm (129)
density = 7.40 g cm⁻³
Fermi-level density of states = 4.27 states/eV/cell
E_tot = -5.173 eV per atom

The structure in CIF format:
```
data_AcDyTe2Se
_cell_length_a 4.511
_cell_length_b 4.511
_cell_length_c 15.948
_cell_angle_alpha 90.00
_cell_angle_beta 90.00
_cell_angle_gamma 90.00
_symmetry_space_group_name_H-M 'P 1'
_symmetry_Int_Tables_number 1
_symmetry_space_group_name_Hall 'P 1'
loop_
_atom_site_label
_atom_site_fract_x
_atom_site_fract_y
_atom_site_fract_z
Ac1 0.500 0.000 0.634
Ac2 0.000 0.500 0.366
Dy1 0.500 0.000 0.092
Dy2 0.000 0.500 0.908
Te1 0.000 0.500 0.717
Te2 0.000 0.500 0.102
Te3 0.500 0.000 0.898
Te4 0.500 0.000 0.283
Se1 0.000 0.000 0.500
Se2 0.500 0.500 0.500
```



No. 17
Below is crystalline La6Mg2Hg at its relaxed geometry, with properties calculated at the PBE level.

Values from the calculation:
symmetry = Fmmm (69)
density = 6.06 g cm⁻³
ΔH_f (0 K) = -1.3 eV per formula unit
Fermi-level density of states = 10.11 states/eV/cell
E_tot = -3.817 eV per atom

The structure in CIF format:
```
data_La6Mg2Hg
_cell_length_a 5.541
_cell_length_b 7.011
_cell_length_c 8.769
_cell_angle_alpha 82.80
_cell_angle_beta 71.58
_cell_angle_gamma 66.72
_symmetry_space_group_name_H-M 'P 1'
_symmetry_Int_Tables_number 1
_symmetry_space_group_name_Hall 'P 1'
loop_
_atom_site_label
_atom_site_fract_x
_atom_site_fract_y
_atom_site_fract_z
La1 0.992 0.187 0.828
La2 0.320 0.187 0.172
La3 0.680 0.813 0.828
La4 0.352 0.796 0.500
La5 0.648 0.204 0.500
La6 0.008 0.813 0.172
Mg1 0.326 0.500 0.847
Mg2 0.674 0.500 0.153
Hg1 0.000 0.500 0.500
```



Number 1: M_tot 0.000 μB per atom. Number 2: M_tot 0.281 μB per atom. Number 3: M_tot 0.000 μB per atom. Number 4: M_tot 0.000 μB per atom. Number 5: M_tot 0.500 μB per atom. Number 6: M_tot 0.000 μB per atom. Number 7: M_tot 0.000 μB per atom. Number 8: M_tot 0.740 μB per atom. Number 9: M_tot 0.000 μB per atom. Number 10: M_tot 0.125 μB per atom. Number 11: M_tot 0.357 μB per atom. Number 12: M_tot 0.000 μB per atom. Number 13: M_tot 0.195 μB per atom. Number 14: M_tot 0.000 μB per atom. Number 15: M_tot 0.000 μB per atom. Number 16: M_tot 0.000 μB per atom. Number 17: M_tot 0.165 μB per atom.